The following is a DFT calculation (PBE) of a relaxed structure of SmPa2PbO8.

The value obtained for the raw formation energy is -3.062 eV per atom. The total moment comes out at 0.00 μB/f.u.

It has space group I-4m2 (No. 119), with a = 5.500 Å, b = 5.500 Å, c = 10.894 Å, α = 90.00°, β = 90.00° and γ = 90.00°. The inequivalent atoms are Sm at (0.000, 0.000, 0.000), Pa at (0.000, 0.000, 0.500), Pa at (0.000, 0.500, 0.750), Pb at (0.000, 0.500, 0.250) and O at (0.231, 0.253, 0.624).